This record from Alexandria via LeMat-Bulk describes a relaxed structure of CrPHO5. The functional is PBE+U.

a = 5.217 Å, b = 5.228 Å, c = 7.239 Å
α = 108.09°, β = 105.77°, γ = 100.72°
Atoms (fractional coordinates):
Cr  0.000  0.000  0.000
Cr  0.000  0.000  0.500
P  0.328  0.677  0.234
P  0.672  0.323  0.766
H  0.033  0.670  0.691
H  0.967  0.330  0.309
O  0.058  0.877  0.740
O  0.130  0.687  0.363
O  0.247  0.375  0.074
O  0.315  0.892  0.129
O  0.370  0.254  0.615
O  0.630  0.746  0.385
O  0.685  0.108  0.871
O  0.753  0.625  0.926
O  0.870  0.313  0.637
O  0.942  0.123  0.260

Computed properties:
Final energy: -6.87 eV/atom
Magnetization: 3.996 μB per cell
Mass density: 3.2 g/cm³